Density functional theory data (PBE-GGA) for a relaxed structure of AgRh2Se.

Summary:
Space-group type: No. 119
Formation energy without anion corrections in eV/atom: 0.338
Calculated density in g/cm³: 10.12

abc: 4.0396 4.0396 7.8993
angles: 90.00 90.00 90.00
Element x y z (fractional)
Ag 0.0000 0.0000 0.0000
Ag 0.5000 0.5000 0.5000
Rh 0.0000 0.0000 0.5000
Rh 0.0000 0.5000 0.7500
Rh 0.5000 0.0000 0.2500
Rh 0.5000 0.5000 0.0000
Se 0.0000 0.5000 0.2500
Se 0.5000 0.0000 0.7500

Density functional theory data (PBE-GGA) for a relaxed structure of MgSi2Pd.

Summary:
Space-group type: No. 122
Formation energy without anion corrections in eV/atom: -0.099
Calculated density in g/cm³: 4.49

abc: 3.9774 3.9774 17.4662
angles: 90.00 90.00 90.00
Element x y z (fractional)
Mg 0.0000 0.0000 0.0000
Mg 0.0000 0.5000 0.2500
Mg 0.5000 0.0000 0.7500
Mg 0.5000 0.5000 0.5000
Si 0.1949 0.2500 0.6250
Si 0.2500 0.6949 0.8750
Si 0.2500 0.8051 0.3750
Si 0.3051 0.2500 0.1250
Si 0.6949 0.7500 0.1250
Si 0.7500 0.1949 0.3750
Si 0.7500 0.3051 0.8750
Si 0.8051 0.7500 0.6250
Pd 0.0000 0.0000 0.5000
Pd 0.0000 0.5000 0.7500
Pd 0.5000 0.0000 0.2500
Pd 0.5000 0.5000 0.0000

Density functional theory data (PBE-GGA) for a relaxed structure of ZrTa2In.

Summary:
Energy relative to the elements in eV per atom: 0.76
Space-group type: No. 122
Calculated density in g/cm³: 10.80

abc: 7.8363 7.8363 5.6870
angles: 90.00 90.00 90.00
Element x y z (fractional)
Zr 0.0000 0.0000 0.0000
Zr 0.0000 0.5000 0.2500
Zr 0.5000 0.0000 0.7500
Zr 0.5000 0.5000 0.5000
Ta 0.2399 0.2500 0.6250
Ta 0.2500 0.7399 0.8750
Ta 0.2500 0.7601 0.3750
Ta 0.2601 0.2500 0.1250
Ta 0.7399 0.7500 0.1250
Ta 0.7500 0.2399 0.3750
Ta 0.7500 0.2601 0.8750
Ta 0.7601 0.7500 0.6250
In 0.0000 0.0000 0.5000
In 0.0000 0.5000 0.7500
In 0.5000 0.0000 0.2500
In 0.5000 0.5000 0.0000

Density functional theory data (PBE-GGA) for a relaxed structure of GdEr3Rh.

Summary:
Energy relative to the elements in eV per atom: -0.27
Space-group type: No. 221
Calculated density in g/cm³: 8.22

abc: 5.3602 5.3602 5.3602
angles: 90.00 90.00 90.00
Element x y z (fractional)
Gd 0.0000 0.0000 0.0000
Er 0.0000 0.5000 0.5000
Er 0.5000 0.0000 0.5000
Er 0.5000 0.5000 0.0000
Rh 0.5000 0.5000 0.5000

Density functional theory data (PBE-GGA) for a relaxed structure of AlGaSn2N.

Summary:
Space-group type: No. 123
Formation energy without anion corrections in eV/atom: 1.458
Calculated density in g/cm³: 4.49

abc: 5.2587 5.2587 4.6580
angles: 90.00 90.00 90.00
Element x y z (fractional)
Al 0.0000 0.0000 0.0000
Ga 0.0000 0.0000 0.5000
Sn 0.0000 0.5000 0.5000
Sn 0.5000 0.0000 0.5000
N 0.5000 0.5000 0.0000

Density functional theory data (PBE-GGA) for a relaxed structure of CrHgAs2.

Summary:
Energy relative to the elements in eV per atom: 0.40
Space-group type: No. 119
Calculated density in g/cm³: 8.69

abc: 4.0140 4.0140 9.5490
angles: 90.00 90.00 90.00
Element x y z (fractional)
Cr 0.0000 0.0000 0.0000
Cr 0.5000 0.5000 0.5000
Hg 0.0000 0.5000 0.7500
Hg 0.5000 0.0000 0.2500
As 0.0000 0.0000 0.5000
As 0.0000 0.5000 0.2500
As 0.5000 0.0000 0.7500
As 0.5000 0.5000 0.0000